#one
# BaHf2Pb (PBE-GGA, optimized geometry)
# **Mass density**: 8.6 g/cm3
data_BaHf2Pb
_cell_length_a 5.0193
_cell_length_b 5.0193
_cell_length_c 21.5734
_cell_angle_alpha 90.00
_cell_angle_beta 90.00
_cell_angle_gamma 90.00
_symmetry_space_group_name_H-M 'I -4 2 d'
_symmetry_Int_Tables_number 122
_symmetry_space_group_name_Hall 'I -4 2bw'
loop_
_atom_site_label
_atom_site_type_symbol
_atom_site_fract_x
_atom_site_fract_y
_atom_site_fract_z
Ba1 Ba 0.0000 0.0000 0.0000
Hf1 Hf 0.1157 0.2500 0.6250
Pb1 Pb 0.0000 0.0000 0.5000

#two
# BaHf2Pb (PBE-GGA, optimized geometry)
# **Mass density**: 11.2 g/cm3
data_BaHf2Pb
_cell_length_a 7.4710
_cell_length_b 7.4710
_cell_length_c 7.4710
_cell_angle_alpha 90.00
_cell_angle_beta 90.00
_cell_angle_gamma 90.00
_symmetry_space_group_name_H-M 'F m -3 m'
_symmetry_Int_Tables_number 225
_symmetry_space_group_name_Hall '-F 4 2 3'
loop_
_atom_site_label
_atom_site_type_symbol
_atom_site_fract_x
_atom_site_fract_y
_atom_site_fract_z
Ba1 Ba 0.0000 0.0000 0.0000
Hf1 Hf 0.2500 0.2500 0.2500
Pb1 Pb 0.0000 0.0000 0.5000

Which of them is least stable? Easy: #one.

#one
# Ba2HfPb (PBE-GGA, optimized geometry)
# **Mass density**: 7.3 g/cm3
data_Ba2HfPb
_cell_length_a 8.4524
_cell_length_b 8.4524
_cell_length_c 8.4524
_cell_angle_alpha 90.00
_cell_angle_beta 90.00
_cell_angle_gamma 90.00
_symmetry_space_group_name_H-M 'F m -3 m'
_symmetry_Int_Tables_number 225
_symmetry_space_group_name_Hall '-F 4 2 3'
loop_
_atom_site_label
_atom_site_type_symbol
_atom_site_fract_x
_atom_site_fract_y
_atom_site_fract_z
Ba1 Ba 0.2500 0.2500 0.2500
Hf1 Hf 0.0000 0.0000 0.0000
Pb1 Pb 0.0000 0.0000 0.5000

#two
# Ba2HfPb (PBE-GGA, optimized geometry)
# **Mass density**: 7.4 g/cm3
data_Ba2HfPb
_cell_length_a 9.5510
_cell_length_b 9.5510
_cell_length_c 6.5249
_cell_angle_alpha 90.00
_cell_angle_beta 90.00
_cell_angle_gamma 90.00
_symmetry_space_group_name_H-M 'I -4 2 d'
_symmetry_Int_Tables_number 122
_symmetry_space_group_name_Hall 'I -4 2bw'
loop_
_atom_site_label
_atom_site_type_symbol
_atom_site_fract_x
_atom_site_fract_y
_atom_site_fract_z
Ba1 Ba 0.2427 0.2500 0.1250
Hf1 Hf 0.0000 0.0000 0.5000
Pb1 Pb 0.0000 0.0000 0.0000

Which of them is least stable? Easy: #two.

#one
# BaHfPd2 (PBE-GGA, optimized geometry)
# **Mass density**: 9.4 g/cm3
data_BaHfPd2
_cell_length_a 3.4494
_cell_length_b 3.4494
_cell_length_c 7.8423
_cell_angle_alpha 90.00
_cell_angle_beta 90.00
_cell_angle_gamma 90.00
_symmetry_space_group_name_H-M 'P 4/m m m'
_symmetry_Int_Tables_number 123
_symmetry_space_group_name_Hall '-P 4 2'
loop_
_atom_site_label
_atom_site_type_symbol
_atom_site_fract_x
_atom_site_fract_y
_atom_site_fract_z
Ba1 Ba 0.0000 0.0000 0.0000
Hf1 Hf 0.0000 0.0000 0.5000
Pd1 Pd 0.5000 0.5000 0.3181

#two
# BaHfPd2 (PBE-GGA, optimized geometry)
# **Mass density**: 8.0 g/cm3
data_BaHfPd2
_cell_length_a 7.7845
_cell_length_b 7.7845
_cell_length_c 7.2068
_cell_angle_alpha 90.00
_cell_angle_beta 90.00
_cell_angle_gamma 90.00
_symmetry_space_group_name_H-M 'I -4 2 d'
_symmetry_Int_Tables_number 122
_symmetry_space_group_name_Hall 'I -4 2bw'
loop_
_atom_site_label
_atom_site_type_symbol
_atom_site_fract_x
_atom_site_fract_y
_atom_site_fract_z
Ba1 Ba 0.0000 0.0000 0.0000
Hf1 Hf 0.0000 0.0000 0.5000
Pd1 Pd 0.1858 0.2500 0.6250

#three
# BaHfPd2 (PBE-GGA, optimized geometry)
# **Mass density**: 9.5 g/cm3
data_BaHfPd2
_cell_length_a 7.1791
_cell_length_b 7.1791
_cell_length_c 7.1791
_cell_angle_alpha 90.00
_cell_angle_beta 90.00
_cell_angle_gamma 90.00
_symmetry_space_group_name_H-M 'F m -3 m'
_symmetry_Int_Tables_number 225
_symmetry_space_group_name_Hall '-F 4 2 3'
loop_
_atom_site_label
_atom_site_type_symbol
_atom_site_fract_x
_atom_site_fract_y
_atom_site_fract_z
Ba1 Ba 0.0000 0.0000 0.0000
Hf1 Hf 0.0000 0.0000 0.5000
Pd1 Pd 0.2500 0.2500 0.2500

Which of them is least stable? Easy: #three.

#one
# BaHfPd3 (PBE-GGA, optimized geometry)
# **Mass density**: 8.0 g/cm3
data_BaHfPd3
_cell_length_a 5.0932
_cell_length_b 5.0932
_cell_length_c 5.0932
_cell_angle_alpha 90.00
_cell_angle_beta 90.00
_cell_angle_gamma 90.00
_symmetry_space_group_name_H-M 'P m -3 m'
_symmetry_Int_Tables_number 221
_symmetry_space_group_name_Hall '-P 4 2 3'
loop_
_atom_site_label
_atom_site_type_symbol
_atom_site_fract_x
_atom_site_fract_y
_atom_site_fract_z
Ba1 Ba 0.0000 0.0000 0.0000
Hf1 Hf 0.5000 0.5000 0.5000
Pd1 Pd 0.0000 0.5000 0.5000

#two
# BaHfPd3 (PBE-GGA, optimized geometry)
# **Mass density**: 7.4 g/cm3
data_BaHfPd3
_cell_length_a 5.2177
_cell_length_b 5.2177
_cell_length_c 5.2177
_cell_angle_alpha 90.00
_cell_angle_beta 90.00
_cell_angle_gamma 90.00
_symmetry_space_group_name_H-M 'P m -3 m'
_symmetry_Int_Tables_number 221
_symmetry_space_group_name_Hall '-P 4 2 3'
loop_
_atom_site_label
_atom_site_type_symbol
_atom_site_fract_x
_atom_site_fract_y
_atom_site_fract_z
Ba1 Ba 0.0000 0.0000 0.0000
Hf1 Hf 0.5000 0.5000 0.5000
Pd1 Pd 0.0000 0.0000 0.5000

Which of them is least stable? Easy: #two.